(1)
# CaMnMo PBE optimized geometry
data_CaMnMo
_chemical_formula_sum 'Ca1 Mn1 Mo1'
_cell_length_a 6.152
_cell_length_b 6.152
_cell_length_c 3.221
_cell_angle_alpha 74.83
_cell_angle_beta 74.82
_cell_angle_gamma 30.35
_symmetry_space_group_name_H-M 'P 1'
_symmetry_Int_Tables_number 1
_symmetry_space_group_name_Hall 'P 1'
loop_
_atom_site_label
_atom_site_type_symbol
_atom_site_fract_x
_atom_site_fract_y
_atom_site_fract_z
_atom_site_occupancy
Mo1 Mo 0.710 0.710 0.290 1
Mn1 Mn 0.292 0.292 0.708 1
Ca1 Ca 0.999 0.999 0.001 1
# size of the total moment = 1.648 Bohr magnetons per cell
# SG = I4mm, No. 107
# calculated volume = 59.3 Å³ per cell
# E above lowest polymorph = 0.00 kJ per mole of atoms
# E_form = 1.348 eV per formula unit

---

(2)
# ScZn2Mo PBE optimized geometry
data_ScZn2Mo
_chemical_formula_sum 'Sc1 Zn2 Mo1'
_cell_length_a 2.807
_cell_length_b 2.807
_cell_length_c 8.247
_cell_angle_alpha 90.00
_cell_angle_beta 90.00
_cell_angle_gamma 90.00
_symmetry_space_group_name_H-M 'P 1'
_symmetry_Int_Tables_number 1
_symmetry_space_group_name_Hall 'P 1'
loop_
_atom_site_label
_atom_site_type_symbol
_atom_site_fract_x
_atom_site_fract_y
_atom_site_fract_z
_atom_site_occupancy
Mo1 Mo 0.500 0.500 0.250 1
Sc1 Sc 0.500 0.500 0.750 1
Zn1 Zn 0.000 0.000 0.010 1
Zn2 Zn 0.000 0.000 0.490 1
# size of the total moment = 0.001 Bohr magnetons per cell
# SG = P4/mmm, No. 123
# calculated volume = 65.0 Å³ per cell
# E above lowest polymorph = 4.07 kJ per mole of atoms
# E_form = -0.121 eV per formula unit

---

What is the formula in the second record? ScZn2Mo